Record 1
{"formula": "MgBTe", "functional": "PBE-GGA", "state": "relaxed", "magnetic_moment_mub_per_fu": 0.00, "raw_formation_energy_kj_per_mol_atoms": -5.2, "n_ef_per_ev_cell": 1.40, "lattice": [[4.2412, -1.6660, 0.0000], [4.2412, 1.6660, 0.0000], [-2.2004, 0.0000, 8.4025]], "species": ["Mg", "Mg", "B", "B", "Te", "Te"], "frac_coords": [[0.0000, 0.0000, 0.0000], [0.5000, 0.5000, 0.5000], [0.2346, 0.2346, 0.5265], [0.7654, 0.7654, 0.4735], [0.2427, 0.2427, 0.8030], [0.7573, 0.7573, 0.1970]]}

---

Record 2
{"formula": "Pm8ZnTe4Se3", "functional": "PBE-GGA", "state": "relaxed", "magnetic_moment_mub_per_fu": 0.00, "raw_formation_energy_kj_per_mol_atoms": -139.9, "n_ef_per_ev_cell": 9.14, "lattice": [[4.3036, 2.4847, 7.2268], [-4.3036, 2.4847, 7.2268], [0.0000, -4.9693, 7.2268]], "species": ["Pm", "Pm", "Pm", "Pm", "Pm", "Pm", "Pm", "Pm", "Zn", "Te", "Te", "Te", "Te", "Se", "Se", "Se"], "frac_coords": [[0.2402, 0.2402, 0.2402], [0.2451, 0.7403, 0.7403], [0.2597, 0.2597, 0.7549], [0.2597, 0.7549, 0.2597], [0.7403, 0.2451, 0.7403], [0.7403, 0.7403, 0.2451], [0.7549, 0.2597, 0.2597], [0.7598, 0.7598, 0.7598], [0.5000, 0.5000, 0.5000], [0.0000, 0.0000, 0.0000], [0.0000, 0.5000, 0.5000], [0.5000, 0.0000, 0.5000], [0.5000, 0.5000, 0.0000], [0.0000, 0.0000, 0.5000], [0.0000, 0.5000, 0.0000], [0.5000, 0.0000, 0.0000]]}

---

Record 3
{"formula": "Ti6NbCo", "functional": "PBE-GGA", "state": "relaxed", "magnetic_moment_mub_per_fu": 0.02, "formation_energy_ev_per_atom": 0.254, "n_ef_per_ev_cell": 10.81, "lattice": [[2.7984, -4.7855, 0.0000], [2.7984, 4.7855, 0.0000], [-2.5340, 0.0000, 5.1770]], "species": ["Ti", "Ti", "Ti", "Ti", "Ti", "Ti", "Nb", "Co"], "frac_coords": [[0.1719, 0.7368, 0.7406], [0.2632, 0.8281, 0.2594], [0.4327, 0.4327, 0.2314], [0.5673, 0.5673, 0.7686], [0.7368, 0.1719, 0.7406], [0.8281, 0.2632, 0.2594], [0.0000, 0.0000, 0.5000], [0.0000, 0.0000, 0.0000]]}

---

Record 4
{"formula": "BeNb2AsIr", "functional": "PBE-GGA", "state": "relaxed", "magnetic_moment_mub_per_fu": 0.00, "formation_energy_ev_per_atom": 0.574, "n_ef_per_ev_cell": 3.80, "lattice": [[4.9140, 0.0000, 0.0000], [0.0000, 4.9140, 0.0000], [0.0000, 0.0000, 4.0918]], "species": ["Be", "Nb", "Nb", "As", "Ir"], "frac_coords": [[0.0000, 0.0000, 0.0000], [0.0000, 0.5000, 0.5000], [0.5000, 0.0000, 0.5000], [0.5000, 0.5000, 0.0000], [0.0000, 0.0000, 0.5000]]}

---

Record 5
{"formula": "AcDy2Tm", "functional": "PBE-GGA", "state": "relaxed", "magnetic_moment_mub_per_fu": 0.00, "formation_energy_ev_per_atom": 0.152, "n_ef_per_ev_cell": 6.96, "lattice": [[0.0000, 4.0999, 4.0999], [4.0999, 0.0000, 4.0999], [4.0999, 4.0999, 0.0000]], "species": ["Ac", "Dy", "Dy", "Tm"], "frac_coords": [[0.0000, 0.0000, 0.0000], [0.2500, 0.2500, 0.2500], [0.7500, 0.7500, 0.7500], [0.5000, 0.5000, 0.5000]]}

---

Record 6
{"formula": "CuPd2Rh", "functional": "PBE-GGA", "state": "relaxed", "magnetic_moment_mub_per_fu": 0.00, "formation_energy_ev_per_atom": 0.376, "n_ef_per_ev_cell": 9.47, "lattice": [[-1.8579, 1.8579, 9.0711], [1.8579, -1.8579, 9.0711], [1.8579, 1.8579, -9.0711]], "species": ["Cu", "Cu", "Pd", "Pd", "Pd", "Pd", "Rh", "Rh"], "frac_coords": [[0.0000, 0.0000, 0.0000], [0.7500, 0.2500, 0.5000], [0.1251, 0.6250, 0.0001], [0.3750, 0.3751, 0.5001], [0.6249, 0.1250, 0.9999], [0.8750, 0.8749, 0.4999], [0.2500, 0.7500, 0.5000], [0.5000, 0.5000, 0.0000]]}